# 1
Below is a relaxed structure of BiHSe2Br, with properties calculated at the PBE level.

Calculated values
The calculation puts the energy above the most stable polymorph in this dataset at 314 meV per atom.

Cell lengths 5.628, 5.628, 5.826 Å; angles 90.00, 90.00, 90.00 degrees
Each line ends with the local moment (μB).
Fractional coordinates of all 5 atoms:
H: 0.500 0.500 0.500  0.38
Se: 0.000 0.500 0.000  0.56
Se: 0.500 0.000 0.000  0.56
Bi: 0.000 0.000 0.000  -0.01
Br: 0.000 0.000 0.500  0.08



# 2
Below is a relaxed structure of BiH2SeBr, with properties calculated at the PBE level.

Calculated values
As for the calculated total energy: -14.29 eV/cell.

Cell lengths 4.199, 5.862, 4.199 Å; angles 90.00, 90.00, 90.00 degrees
Fractional coordinates of all 5 atoms:
H: 0.000 0.000 0.500
H: 0.500 0.000 0.000
Se: 0.000 0.500 0.000
Bi: 0.000 0.000 0.000
Br: 0.500 0.500 0.500